This record from Alexandria describes a geometry-optimized Be2CrNi2 structure. The functional is PBE.

- raw total energy (Ry/atom) = -0.42624
- DFT formation energy (eV per atom) = -0.072
- energy relative to the lowest polymorph listed for this composition (meV per atom) = 114.9
- crystal system = tetragonal

Lattice parameters (Å, degrees): 6.4336 6.4336 2.3807 90.00 90.00 90.00
Space group P4/mbm (No. 127)
Inequivalent atoms, fractional coordinates:
Be 0.1659 0.3341 0.0000 x4
Cr 0.0000 0.0000 0.5000 x2
Ni 0.1323 0.6323 0.5000 x4

***

This record from Alexandria describes a geometry-optimized Sm5Y5Tm structure. The functional is PBE.

- raw total energy (Ry/atom) = -0.38012
- DFT formation energy (eV per atom) = 0.318
- energy relative to the lowest polymorph listed for this composition (meV per atom) = 47.6
- crystal system = hexagonal

Lattice parameters (Å, degrees): 6.1351 6.1351 11.4728 90.00 90.00 120.00
Space group P-6m2 (No. 187)
Inequivalent atoms, fractional coordinates:
Sm 0.0000 0.0000 0.2364 x2
Sm 0.3398 0.1699 0.0000 x3
Y 0.0000 0.0000 0.5000 x1
Y 0.3333 0.6667 0.1835 x2
Y 0.6667 0.3333 0.3409 x2
Tm 0.3333 0.6667 0.5000 x1

***

This record from Alexandria describes a geometry-optimized Pu2AlGe3Ir4 structure. The functional is PBE.

- raw total energy (Ry/atom) = -0.64587
- DFT formation energy (eV per atom) = -0.617
- crystal system = tetragonal

Lattice parameters (Å, degrees): 4.1599 4.1599 10.5411 90.00 90.00 90.00
Space group P-4m2 (No. 115)
Inequivalent atoms, fractional coordinates:
Pu 0.0000 0.5000 0.2496 x2
Al 0.0000 0.0000 0.5000 x1
Ge 0.0000 0.5000 0.8696 x2
Ge 0.5000 0.5000 0.5000 x1
Ir 0.0000 0.0000 0.0000 x1
Ir 0.0000 0.5000 0.6355 x2
Ir 0.5000 0.5000 0.0000 x1

***

This record from Alexandria describes a geometry-optimized YTaCr2 structure. The functional is PBE.

- raw total energy (Ry/atom) = -0.64534
- DFT formation energy (eV per atom) = 0.611
- energy relative to the lowest polymorph listed for this composition (meV per atom) = 305.7
- crystal system = trigonal

Lattice parameters (Å, degrees): 3.0421 3.0421 26.3052 90.00 90.00 120.00
Space group R3m (No. 160, hexagonal axes)
Inequivalent atoms, fractional coordinates:
Y 0.0000 0.0000 0.0000 x3
Ta 0.0000 0.0000 0.2300 x3
Cr 0.0000 0.0000 0.4858 x3
Cr 0.0000 0.0000 0.7614 x3

***

This record from Alexandria describes a geometry-optimized Ti3NbI structure. The functional is PBE.

- raw total energy (Ry/atom) = -0.44638
- energy relative to the lowest polymorph listed for this composition (meV per atom) = 0.0
- crystal system = cubic
- raw formation energy (meV/atom) = 988

Lattice parameters (Å, degrees): 4.9186 4.9186 4.9186 90.00 90.00 90.00
Space group Pm-3m (No. 221)
Inequivalent atoms, fractional coordinates:
Ti 0.0000 0.0000 0.5000 x3
Nb 0.0000 0.0000 0.0000 x1
I 0.5000 0.5000 0.5000 x1

***

This record from Alexandria describes a geometry-optimized Hg2Bi2Te structure. The functional is PBE.

- raw total energy (Ry/atom) = -0.15339
- energy relative to the lowest polymorph listed for this composition (meV per atom) = 117.4
- crystal system = tetragonal
- raw formation energy (meV/atom) = 214

Lattice parameters (Å, degrees): 8.4598 8.4598 4.1752 90.00 90.00 90.00
Space group P4/mbm (No. 127)
Inequivalent atoms, fractional coordinates:
Hg 0.1634 0.3366 0.0000 x4
Bi 0.1299 0.6299 0.5000 x4
Te 0.0000 0.0000 0.0000 x2